(1)
TaAlP2 | PBE | optimized geometry

```
4
Lattice="2.887 -3.231 0.000 2.887 3.231 0.000 0.000 0.000 3.193" Properties=species:S:1:pos:R:3 pbc="T T T"
Ta 0.000 0.000 0.000
Al 2.887 0.000 0.000
P 1.444 1.616 1.596
P 1.444 -1.616 1.596
```

Computed properties:
N(E_F), states/eV/atom: 0.7337
Total DFT energy (no corrections), eV per atom: -6.713
Formation energy from the elements, eV per formula unit: -0.44

***

(2)
Ta2AlP | PBE | optimized geometry

```
4
Lattice="1.734 -2.415 0.000 1.734 2.415 0.000 0.000 0.000 7.825" Properties=species:S:1:pos:R:3 pbc="T T T"
Ta 0.000 0.000 1.768
Ta 0.000 0.000 6.057
Al 1.734 0.000 3.913
P 1.734 0.000 0.000
```

Computed properties:
N(E_F), states/eV/atom: 0.5248
Total DFT energy (no corrections), eV per atom: -8.467
Formation energy from the elements, eV per formula unit: -1.01

***

(3)
Ta2AlP | PBE | optimized geometry

```
4
Lattice="3.034 0.000 0.000 0.000 3.034 0.000 0.000 0.000 7.052" Properties=species:S:1:pos:R:3 pbc="T T T"
Ta 0.000 0.000 1.507
Ta 0.000 0.000 5.544
Al 1.517 1.517 3.526
P 1.517 1.517 0.000
```

Computed properties:
N(E_F), states/eV/atom: 0.2872
Total DFT energy (no corrections), eV per atom: -8.542
Formation energy from the elements, eV per formula unit: -1.31

***

(4)
Ta2AlP | PBE | optimized geometry

```
4
Lattice="3.393 0.000 0.000 0.000 3.393 0.000 0.000 0.000 5.593" Properties=species:S:1:pos:R:3 pbc="T T T"
Ta 0.000 0.000 0.000
Ta 1.696 1.696 1.541
Al 0.000 0.000 2.876
P 1.696 1.696 4.354
```

Computed properties:
N(E_F), states/eV/atom: 0.7314
Total DFT energy (no corrections), eV per atom: -8.502
Formation energy from the elements, eV per formula unit: -1.15

***

(5)
Ta2AlP2 | PBE | optimized geometry

```
10
Lattice="6.904 0.000 0.000 0.000 6.904 0.000 0.000 0.000 3.210" Properties=species:S:1:pos:R:3 pbc="T T T"
Ta 1.084 2.368 0.000
Ta 2.368 5.821 0.000
Ta 4.536 1.084 0.000
Ta 5.821 4.536 0.000
Al 0.000 0.000 1.605
Al 3.452 3.452 1.605
P 0.963 4.415 1.605
P 2.489 0.963 1.605
P 4.415 5.941 1.605
P 5.941 2.489 1.605
```

Computed properties:
N(E_F), states/eV/atom: 0.3832
Total DFT energy (no corrections), eV per atom: -8.061
Formation energy from the elements, eV per formula unit: -2.04

***

(6)
TaAl2P | PBE | optimized geometry

```
4
Lattice="3.518 0.000 0.000 0.000 3.518 0.000 0.000 0.000 5.099" Properties=species:S:1:pos:R:3 pbc="T T T"
Ta 0.000 0.000 0.000
Al 1.759 1.759 1.274
Al 1.759 1.759 3.825
P 0.000 0.000 2.550
```

Computed properties:
N(E_F), states/eV/atom: 0.4418
Total DFT energy (no corrections), eV per atom: -6.387
Formation energy from the elements, eV per formula unit: -0.80

***

(7)
TaAl2P | PBE | optimized geometry

```
4
Lattice="4.558 -1.567 0.000 4.558 1.567 0.000 -0.253 0.000 4.658" Properties=species:S:1:pos:R:3 pbc="T T T"
Ta 0.000 0.000 0.000
Al 4.197 0.000 2.313
Al 6.632 0.000 1.219
P 2.358 0.000 3.984
```

Computed properties:
N(E_F), states/eV/atom: 0.4848
Total DFT energy (no corrections), eV per atom: -6.312
Formation energy from the elements, eV per formula unit: -0.50

***

(8)
TaAl2P | PBE | optimized geometry

```
8
Lattice="-3.622 3.622 2.553 3.622 -3.622 2.553 3.622 3.622 -2.553" Properties=species:S:1:pos:R:3 pbc="T T T"
Ta 0.000 0.000 0.000
Ta 0.000 3.622 1.276
Al 1.811 -1.507 1.914
Al 2.116 1.811 0.638
Al 1.811 5.129 -0.638
Al 1.507 1.811 3.191
P 3.622 0.000 1.276
P 0.000 0.000 2.553
```

Computed properties:
N(E_F), states/eV/atom: 0.6490
Total DFT energy (no corrections), eV per atom: -6.059
Formation energy from the elements, eV per formula unit: 0.51